[1]
A geometry-optimized La3I2N2 structure, computed with PBE.

a b c (Å): 13.6137 4.0569 8.7550
angles (deg): 90.00 124.03 90.00
With the nearest neighbours (Å) after each atom.
Space group C2/m (No. 12)
One atom of each set of equivalent atoms:
La 0.0000 0.0000 0.0000 (multiplicity 2)  2 N 2.39
La 0.1991 0.0000 0.7998 (multiplicity 4)  3 N 2.33-2.39
I 0.0772 0.5000 0.3612 (multiplicity 4)  4 La 3.39-3.78
N 0.1952 0.0000 0.0624 (multiplicity 4)  4 La 2.33-2.39

Summary:
* E_form (uncorrected): -1.490 eV per atom
* relative energy among the computed polymorphs: 0.0 meV/atom
* total moment: 0.000 μB/cell



[2]
A geometry-optimized La4I3N2 structure, computed with PBE.

a b c (Å): 15.4992 3.7622 9.4089
angles (deg): 90.00 105.39 90.00
With the nearest neighbours (Å) after each atom.
Space group C2/m (No. 12)
One atom of each set of equivalent atoms:
La 0.0971 0.0000 0.2222 (multiplicity 4)  2 N 2.42
La 0.1878 0.5000 0.5942 (multiplicity 4)  3 N 2.54-2.62
I 0.0000 0.0000 0.5000 (multiplicity 2)  6 La 3.34-3.38
I 0.1027 0.5000 0.9105 (multiplicity 4)  5 La 3.50-3.56, 2 I 3.76, 1 N 3.78
N 0.1909 0.5000 0.3260 (multiplicity 4)  5 La 2.42-2.62

Summary:
* E_form (uncorrected): -1.289 eV per atom
* relative energy among the computed polymorphs: 106.8 meV/atom
* total moment: 0.000 μB/cell



[3]
A geometry-optimized La3IN structure, computed with PBE.

a b c (Å): 13.7631 6.7477 6.5216
angles (deg): 90.00 99.77 90.00
With the nearest neighbours (Å) after each atom.
Space group C2/m (No. 12)
One atom of each set of equivalent atoms:
La 0.0852 0.0000 0.1985 (multiplicity 4)  1 N 2.44
La 0.1794 0.2388 0.7482 (multiplicity 8)  2 N 2.42-2.51
I 0.0811 0.5000 0.2877 (multiplicity 4)  6 La 3.43-3.71, 1 N 3.59
N 0.2339 0.0000 0.0407 (multiplicity 4)  5 La 2.42-2.51

Summary:
* E_form (uncorrected): -0.794 eV per atom
* relative energy among the computed polymorphs: 0.0 meV/atom
* total moment: 0.002 μB/cell



[4]
A geometry-optimized LaI2N2 structure, computed with PBE.

a b c (Å): 4.4621 4.4621 7.5012
angles (deg): 90.00 90.00 90.00
With the nearest neighbours (Å) after each atom.
Space group P4/mmm (No. 123)
One atom of each set of equivalent atoms:
La 0.0000 0.0000 0.0000 (multiplicity 1)  4 N 2.23
I 0.0000 0.0000 0.5000 (multiplicity 1)  4 I 3.16
I 0.5000 0.5000 0.5000 (multiplicity 1)  4 I 3.16
N 0.0000 0.5000 0.0000 (multiplicity 2)  2 La 2.23

Summary:
* E_form (uncorrected): 0.715 eV per atom
* relative energy among the computed polymorphs: 0.0 meV/atom
* total moment: 0.001 μB/cell



Please write out number 1 again, unchanged.
A geometry-optimized La3I2N2 structure, computed with PBE.

a b c (Å): 13.6137 4.0569 8.7550
angles (deg): 90.00 124.03 90.00
With the nearest neighbours (Å) after each atom.
Space group C2/m (No. 12)
One atom of each set of equivalent atoms:
La 0.0000 0.0000 0.0000 (multiplicity 2)  2 N 2.39
La 0.1991 0.0000 0.7998 (multiplicity 4)  3 N 2.33-2.39
I 0.0772 0.5000 0.3612 (multiplicity 4)  4 La 3.39-3.78
N 0.1952 0.0000 0.0624 (multiplicity 4)  4 La 2.33-2.39

Summary:
* E_form (uncorrected): -1.490 eV per atom
* relative energy among the computed polymorphs: 0.0 meV/atom
* total moment: 0.000 μB/cell



Q: Number 4 is which compound?
A: LaI2N2



What did the fourth record say?
A geometry-optimized LaI2N2 structure, computed with PBE.

a b c (Å): 4.4621 4.4621 7.5012
angles (deg): 90.00 90.00 90.00
With the nearest neighbours (Å) after each atom.
Space group P4/mmm (No. 123)
One atom of each set of equivalent atoms:
La 0.0000 0.0000 0.0000 (multiplicity 1)  4 N 2.23
I 0.0000 0.0000 0.5000 (multiplicity 1)  4 I 3.16
I 0.5000 0.5000 0.5000 (multiplicity 1)  4 I 3.16
N 0.0000 0.5000 0.0000 (multiplicity 2)  2 La 2.23

Summary:
* E_form (uncorrected): 0.715 eV per atom
* relative energy among the computed polymorphs: 0.0 meV/atom
* total moment: 0.001 μB/cell